[1]
The following is a PBE-GGA calculation of an optimized crystal structure of Pr6Si2Ge, from Alexandria via LeMat-Bulk.

Cell lengths 8.770, 8.770, 8.770 Å; angles 106.98, 109.56, 111.91 degrees
Positions (direct):
Pr (0.551, 0.732, 0.819)
Pr (0.449, 0.268, 0.181)
Pr (0.088, 0.268, 0.819)
Pr (0.912, 0.732, 0.181)
Pr (0.800, 0.755, 0.556)
Pr (0.200, 0.245, 0.444)
Pr (0.200, 0.755, 0.955)
Pr (0.800, 0.245, 0.045)
Pr (0.711, 0.387, 0.676)
Pr (0.289, 0.613, 0.324)
Pr (0.289, 0.966, 0.676)
Pr (0.711, 0.034, 0.324)
Si (0.500, 0.386, 0.886)
Si (0.500, 0.614, 0.114)
Si (0.623, 0.000, 0.623)
Si (0.377, 0.000, 0.377)
Ge (0.000, 0.500, 0.500)
Ge (0.000, 0.000, 0.000)

Output
Uncorrected formation energy, meV/atom: -516


[2]
The following is a PBE-GGA calculation of an optimized crystal structure of Pr2SiGe3, from Alexandria via LeMat-Bulk.

Cell lengths 4.183, 4.115, 8.053 Å; angles 90.00, 90.00, 90.00 degrees
Positions (direct):
Pr (0.000, 0.500, 0.008)
Pr (0.000, 0.000, 0.491)
Si (0.500, 0.500, 0.338)
Ge (0.500, 0.000, 0.841)
Ge (0.500, 0.000, 0.171)
Ge (0.500, 0.500, 0.651)

Output
Uncorrected formation energy, meV/atom: -582


[3]
The following is a PBE-GGA calculation of an optimized crystal structure of Pr2SiGe3, from Alexandria via LeMat-Bulk.

Cell lengths 6.085, 6.085, 8.717 Å; angles 111.95, 111.95, 85.93 degrees
Positions (direct):
Pr (0.750, 0.250, 0.500)
Pr (0.749, 0.251, 0.000)
Pr (0.250, 0.750, 0.500)
Pr (0.251, 0.749, 0.000)
Si (0.668, 0.668, 0.335)
Si (0.332, 0.332, 0.665)
Ge (0.828, 0.828, 0.173)
Ge (0.655, 0.655, 0.827)
Ge (0.172, 0.172, 0.827)
Ge (0.345, 0.345, 0.173)
Ge (0.168, 0.168, 0.337)
Ge (0.832, 0.832, 0.663)

Output
Uncorrected formation energy, meV/atom: -578


[4]
The following is a PBE-GGA calculation of an optimized crystal structure of Pr6Si2Ge, from Alexandria via LeMat-Bulk.

Cell lengths 6.359, 8.367, 10.140 Å; angles 90.00, 90.12, 90.00 degrees
Positions (direct):
Pr (0.870, 0.961, 0.230)
Pr (0.861, 0.670, 0.561)
Pr (0.876, 0.678, 0.938)
Pr (0.624, 0.178, 0.562)
Pr (0.639, 0.170, 0.939)
Pr (0.630, 0.461, 0.270)
Pr (0.130, 0.039, 0.770)
Pr (0.139, 0.330, 0.439)
Pr (0.124, 0.322, 0.062)
Pr (0.376, 0.822, 0.438)
Pr (0.361, 0.830, 0.061)
Pr (0.370, 0.539, 0.730)
Si (0.926, 0.380, 0.749)
Si (0.574, 0.880, 0.751)
Si (0.426, 0.120, 0.249)
Si (0.074, 0.620, 0.251)
Ge (0.500, 0.500, 0.000)
Ge (0.000, 0.000, 0.500)

Output
Uncorrected formation energy, meV/atom: -425


[5]
The following is a PBE-GGA calculation of an optimized crystal structure of Pr4SiGe, from Alexandria via LeMat-Bulk.

Cell lengths 6.534, 8.123, 8.222 Å; angles 113.82, 106.58, 103.10 degrees
Positions (direct):
Pr (0.018, 0.242, 0.861)
Pr (0.783, 0.689, 0.632)
Pr (0.343, 0.619, 0.861)
Pr (0.348, 0.942, 0.632)
Pr (0.652, 0.058, 0.368)
Pr (0.657, 0.381, 0.139)
Pr (0.217, 0.311, 0.368)
Pr (0.982, 0.758, 0.139)
Si (0.381, 0.631, 0.263)
Si (0.619, 0.369, 0.737)
Ge (0.252, 0.002, 0.004)
Ge (0.748, 0.998, 0.996)

Output
Uncorrected formation energy, meV/atom: -493


[6]
The following is a PBE-GGA calculation of an optimized crystal structure of Pr2Si2Ge, from Alexandria via LeMat-Bulk.

Cell lengths 7.317, 7.317, 8.760 Å; angles 90.00, 90.00, 90.00 degrees
Positions (direct):
Pr (0.683, 0.817, 0.500)
Pr (0.317, 0.183, 0.500)
Pr (0.817, 0.317, 0.000)
Pr (0.183, 0.683, 0.000)
Pr (0.817, 0.317, 0.500)
Pr (0.183, 0.683, 0.500)
Pr (0.317, 0.183, 0.000)
Pr (0.683, 0.817, 0.000)
Si (0.385, 0.885, 0.250)
Si (0.615, 0.115, 0.250)
Si (0.115, 0.385, 0.750)
Si (0.885, 0.615, 0.750)
Si (0.885, 0.615, 0.250)
Si (0.115, 0.385, 0.250)
Si (0.385, 0.885, 0.750)
Si (0.615, 0.115, 0.750)
Ge (0.500, 0.500, 0.250)
Ge (0.000, 0.000, 0.750)
Ge (0.500, 0.500, 0.750)
Ge (0.000, 0.000, 0.250)

Output
Uncorrected formation energy, meV/atom: -620


[7]
The following is a PBE-GGA calculation of an optimized crystal structure of Pr3Si2Ge, from Alexandria via LeMat-Bulk.

Cell lengths 4.215, 12.142, 12.032 Å; angles 90.00, 90.00, 90.00 degrees
Each line ends with the local moment (μB).
Positions (direct):
Pr (0.250, 0.379, 0.061)  0.09
Pr (0.750, 0.621, 0.939)  0.09
Pr (0.750, 0.879, 0.439)  0.09
Pr (0.250, 0.121, 0.561)  0.09
Pr (0.250, 0.704, 0.201)  0.08
Pr (0.750, 0.296, 0.799)  0.08
Pr (0.750, 0.204, 0.299)  0.08
Pr (0.250, 0.796, 0.701)  0.08
Pr (0.250, 0.442, 0.382)  0.04
Pr (0.750, 0.558, 0.618)  0.04
Pr (0.750, 0.942, 0.118)  0.04
Pr (0.250, 0.058, 0.882)  0.04
Si (0.250, 0.690, 0.476)  0.00
Si (0.750, 0.310, 0.524)  0.00
Si (0.750, 0.190, 0.024)  0.00
Si (0.250, 0.810, 0.976)  0.00
Si (0.250, 0.010, 0.309)  -0.01
Si (0.750, 0.990, 0.691)  -0.01
Si (0.750, 0.510, 0.191)  -0.01
Si (0.250, 0.490, 0.809)  -0.01
Ge (0.250, 0.130, 0.132)  0.00
Ge (0.750, 0.870, 0.868)  0.00
Ge (0.750, 0.630, 0.368)  0.00
Ge (0.250, 0.370, 0.632)  0.00

Output
Uncorrected formation energy, meV/atom: -643


[8]
The following is a PBE-GGA calculation of an optimized crystal structure of Pr7Si2Ge2, from Alexandria via LeMat-Bulk.

Cell lengths 6.869, 7.306, 6.869 Å; angles 90.00, 108.47, 90.00 degrees
Positions (direct):
Pr (0.000, 0.288, 0.500)
Pr (0.500, 0.712, 0.000)
Pr (0.000, 0.712, 0.500)
Pr (0.500, 0.288, 0.000)
Pr (0.000, 0.000, 0.000)
Pr (0.500, 0.740, 0.500)
Pr (0.500, 0.260, 0.500)
Si (0.844, 0.500, 0.844)
Si (0.156, 0.500, 0.156)
Ge (0.717, 0.000, 0.283)
Ge (0.283, 0.000, 0.717)

Output
Uncorrected formation energy, meV/atom: -319


[9]
The following is a PBE-GGA calculation of an optimized crystal structure of PrSiGe2, from Alexandria via LeMat-Bulk.

Cell lengths 4.463, 4.463, 5.674 Å; angles 66.84, 66.84, 60.00 degrees
Positions (direct):
Pr (0.500, 0.500, 0.500)
Ge (0.287, 0.287, 0.138)
Ge (0.713, 0.713, 0.862)
Si (0.000, 0.000, 0.000)

Output
Uncorrected formation energy, meV/atom: -227


[10]
The following is a PBE-GGA calculation of an optimized crystal structure of PrSmSiGe, from Alexandria via LeMat-Bulk.

Cell lengths 4.467, 4.002, 5.937 Å; angles 90.00, 112.10, 90.00 degrees
Positions (direct):
Pr (0.140, 0.000, 0.279)
Sm (0.861, 0.500, 0.722)
Si (0.577, 0.500, 0.153)
Ge (0.423, 0.000, 0.845)

Output
Uncorrected formation energy, meV/atom: -795


[11]
The following is a PBE-GGA calculation of an optimized crystal structure of TbPrSiGe, from Alexandria via LeMat-Bulk.

Cell lengths 4.421, 3.977, 5.887 Å; angles 90.00, 112.05, 90.00 degrees
Positions (direct):
Tb (0.863, 0.500, 0.726)
Pr (0.141, 0.000, 0.282)
Si (0.420, 0.000, 0.840)
Ge (0.576, 0.500, 0.152)

Output
Uncorrected formation energy, meV/atom: -796


[12]
The following is a PBE-GGA calculation of an optimized crystal structure of PrSiTc2Ge2, from Alexandria via LeMat-Bulk.

Cell lengths 4.505, 4.505, 5.651 Å; angles 90.00, 90.00, 90.00 degrees
Positions (direct):
Pr (0.000, 0.000, 0.500)
Si (0.000, 0.000, 0.000)
Tc (0.500, 0.000, 0.000)
Tc (0.000, 0.500, 0.000)
Ge (0.500, 0.500, 0.733)
Ge (0.500, 0.500, 0.267)

Output
Uncorrected formation energy, meV/atom: -264


[13]
The following is a PBE-GGA calculation of an optimized crystal structure of Pr4SiGeTe2, from Alexandria via LeMat-Bulk.

Cell lengths 4.411, 7.625, 7.816 Å; angles 108.99, 90.00, 90.00 degrees
Positions (direct):
Pr (0.500, 0.243, 0.225)
Pr (0.500, 0.757, 0.775)
Pr (0.000, 0.260, 0.776)
Pr (0.000, 0.740, 0.224)
Si (0.500, 0.500, 0.000)
Ge (0.000, 0.000, 0.000)
Te (0.500, 0.000, 0.500)
Te (0.000, 0.500, 0.500)

Output
Uncorrected formation energy, meV/atom: -1162


[14]
The following is a PBE-GGA calculation of an optimized crystal structure of Pr8SiGe3Te4, from Alexandria via LeMat-Bulk.

Cell lengths 8.827, 8.976, 8.827 Å; angles 119.45, 120.00, 90.00 degrees
Positions (direct):
Pr (0.241, 0.725, 0.984)
Pr (0.241, 0.725, 0.482)
Pr (0.258, 0.275, 0.516)
Pr (0.743, 0.725, 0.984)
Pr (0.257, 0.275, 0.016)
Pr (0.742, 0.725, 0.484)
Pr (0.759, 0.275, 0.518)
Pr (0.759, 0.275, 0.016)
Si (0.000, 0.500, 0.000)
Ge (0.500, 0.500, 0.000)
Ge (0.500, 0.500, 0.500)
Ge (0.000, 0.500, 0.500)
Te (0.500, 0.000, 0.000)
Te (0.500, 0.000, 0.500)
Te (0.000, 0.000, 0.000)
Te (0.000, 0.000, 0.500)

Output
Uncorrected formation energy, meV/atom: -1189


[15]
The following is a PBE-GGA calculation of an optimized crystal structure of Pr6Si2GeTe3, from Alexandria via LeMat-Bulk.

Cell lengths 4.408, 8.965, 9.993 Å; angles 104.57, 102.74, 90.00 degrees
Positions (direct):
Pr (0.338, 0.902, 0.677)
Pr (0.672, 0.569, 0.345)
Pr (0.662, 0.098, 0.323)
Pr (0.006, 0.237, 0.012)
Pr (0.994, 0.763, 0.988)
Pr (0.328, 0.431, 0.655)
Si (0.833, 0.667, 0.666)
Si (0.167, 0.333, 0.334)
Ge (0.500, 0.000, 0.000)
Te (0.500, 0.500, 0.000)
Te (0.834, 0.167, 0.667)
Te (0.166, 0.833, 0.333)

Output
Uncorrected formation energy, meV/atom: -1145


[16]
The following is a PBE-GGA calculation of an optimized crystal structure of Pr2SmGe2, from Alexandria via LeMat-Bulk.

Cell lengths 4.496, 6.704, 10.159 Å; angles 77.96, 77.21, 70.41 degrees
Positions (direct):
Pr (0.320, 0.271, 0.088)
Pr (0.485, 0.343, 0.687)
Pr (0.680, 0.729, 0.912)
Pr (0.515, 0.657, 0.313)
Sm (0.780, 0.080, 0.360)
Sm (0.220, 0.920, 0.640)
Ge (0.977, 0.152, 0.895)
Ge (0.115, 0.332, 0.439)
Ge (0.023, 0.848, 0.105)
Ge (0.885, 0.668, 0.561)

Output
Calculated formation energy, eV/f.u.: -3.37


[17]
The following is a PBE-GGA calculation of an optimized crystal structure of PrSm2Ge, from Alexandria via LeMat-Bulk.

Cell lengths 3.934, 3.934, 7.425 Å; angles 90.00, 90.00, 90.00 degrees
Positions (direct):
Pr (0.500, 0.500, 0.000)
Ge (0.500, 0.500, 0.500)
Sm (0.000, 0.000, 0.699)
Sm (0.000, 0.000, 0.301)

Output
Calculated formation energy, eV/f.u.: -1.27


[18]
The following is a PBE-GGA calculation of an optimized crystal structure of PrSm4Ge4, from Alexandria via LeMat-Bulk.

Cell lengths 5.963, 9.355, 9.355 Å; angles 90.00, 90.00, 90.00 degrees
Positions (direct):
Pr (0.000, 0.000, 0.000)
Pr (0.500, 0.500, 0.500)
Sm (0.387, 0.322, 0.908)
Sm (0.887, 0.592, 0.822)
Sm (0.387, 0.678, 0.092)
Sm (0.113, 0.178, 0.592)
Sm (0.613, 0.908, 0.678)
Sm (0.113, 0.822, 0.408)
Sm (0.887, 0.408, 0.178)
Sm (0.613, 0.092, 0.322)
Ge (0.617, 0.779, 0.368)
Ge (0.617, 0.221, 0.632)
Ge (0.117, 0.868, 0.721)
Ge (0.883, 0.279, 0.868)
Ge (0.883, 0.721, 0.132)
Ge (0.383, 0.368, 0.221)
Ge (0.383, 0.632, 0.779)
Ge (0.117, 0.132, 0.279)

Output
Calculated formation energy, eV/f.u.: -5.09


[19]
The following is a PBE-GGA calculation of an optimized crystal structure of PrSmGe3, from Alexandria via LeMat-Bulk.

Cell lengths 4.082, 4.325, 13.743 Å; angles 99.05, 90.00, 90.00 degrees
Positions (direct):
Pr (0.250, 0.072, 0.144)
Pr (0.750, 0.928, 0.856)
Sm (0.250, 0.797, 0.593)
Sm (0.750, 0.203, 0.407)
Ge (0.250, 0.377, 0.754)
Ge (0.750, 0.623, 0.246)
Ge (0.250, 0.472, 0.944)
Ge (0.750, 0.528, 0.056)
Ge (0.750, 0.315, 0.630)
Ge (0.250, 0.685, 0.370)

Output
Calculated formation energy, eV/f.u.: -3.53


[20]
The following is a PBE-GGA calculation of an optimized crystal structure of PrSmGe, from Alexandria via LeMat-Bulk.

Cell lengths 4.539, 4.539, 8.914 Å; angles 104.74, 104.74, 90.00 degrees
Each line ends with the local moment (μB).
Positions (direct):
Pr (0.319, 0.319, 0.138)  0.08
Pr (0.681, 0.681, 0.862)  0.08
Sm (0.000, 0.500, 0.500)  0.01
Sm (0.500, 0.000, 0.500)  0.01
Ge (0.867, 0.867, 0.235)  -0.01
Ge (0.133, 0.133, 0.765)  -0.01

Output
Calculated formation energy, eV/f.u.: -1.83


[21]
The following is a PBE-GGA calculation of an optimized crystal structure of PrSm2Ge, from Alexandria via LeMat-Bulk.

Cell lengths 6.479, 7.924, 9.385 Å; angles 90.00, 90.00, 90.00 degrees
Positions (direct):
Pr (0.632, 0.529, 0.250)
Pr (0.868, 0.029, 0.250)
Pr (0.368, 0.471, 0.750)
Pr (0.132, 0.971, 0.750)
Sm (0.129, 0.688, 0.054)
Sm (0.371, 0.188, 0.446)
Sm (0.871, 0.312, 0.554)
Sm (0.629, 0.812, 0.946)
Sm (0.871, 0.312, 0.946)
Sm (0.629, 0.812, 0.554)
Sm (0.129, 0.688, 0.446)
Sm (0.371, 0.188, 0.054)
Ge (0.081, 0.382, 0.250)
Ge (0.419, 0.882, 0.250)
Ge (0.919, 0.618, 0.750)
Ge (0.581, 0.118, 0.750)

Output
Calculated formation energy, eV/f.u.: -1.78


For each record above, in turn, the calculated total moment values are 0.00, 0.00, 0.00, 0.00, 0.00, 0.00, 2.02, 0.00, 0.00, 0.00, 0.00, 0.00, 0.00, 0.00, 0.00, 0.00, 0.00, 0.05, 0.00, 0.37, 0.00 μB per cell.